(1)
# AcPmTlCd | Alexandria | PBE-GGA | relaxed
# Fermi-level density of states	1.3670	states/eV/atom
# total energy	-13.45	eV for the cell shown
# E_form	-0.328	eV/atom
data_AcPmTlCd
_symmetry_space_group_name_H-M 'P 4 m m'
_symmetry_Int_Tables_number 99
_symmetry_space_group_name_Hall 'P 4 -2'
_cell_length_a 3.972
_cell_length_b 3.972
_cell_length_c 8.007
_cell_angle_alpha 90.00
_cell_angle_beta 90.00
_cell_angle_gamma 90.00
loop_
_atom_site_label
_atom_site_fract_x
_atom_site_fract_y
_atom_site_fract_z
Ac1 0.000 0.000 0.000
Pm1 0.000 0.000 0.487
Tl1 0.500 0.500 0.719
Cd1 0.500 0.500 0.271

---

(2)
# AcPm2Tl2Cd2 | Alexandria | PBE-GGA | relaxed
# Fermi-level density of states	0.7133	states/eV/atom
# total energy	-65.06	eV for the cell shown
# E_form	-0.216	eV/atom
data_AcPm2Tl2Cd2
_symmetry_space_group_name_H-M 'R -3 m'
_symmetry_Int_Tables_number 166
_symmetry_space_group_name_Hall '-R 3 2"'
_cell_length_a 5.1013
_cell_length_b 5.1013
_cell_length_c 28.0582
_cell_angle_alpha 90.00
_cell_angle_beta 90.00
_cell_angle_gamma 120.00
loop_
_atom_site_label
_atom_site_fract_x
_atom_site_fract_y
_atom_site_fract_z
Ac1 0.0000 0.0000 0.0000
Pm1 0.0000 0.0000 0.1352
Tl1 0.0000 0.0000 0.2643
Cd1 0.0000 0.0000 0.4311

---

(3)
# AcPmTlCd | Alexandria | PBE-GGA | relaxed
# Fermi-level density of states	1.3022	states/eV/atom
# total energy	-53.65	eV for the cell shown
# E_form	-0.318	eV/atom
data_AcPmTlCd
_symmetry_space_group_name_H-M 'F -4 3 m'
_symmetry_Int_Tables_number 216
_symmetry_space_group_name_Hall 'F -4 2 3'
_cell_length_a 7.983
_cell_length_b 7.983
_cell_length_c 7.983
_cell_angle_alpha 90.00
_cell_angle_beta 90.00
_cell_angle_gamma 90.00
loop_
_atom_site_label
_atom_site_fract_x
_atom_site_fract_y
_atom_site_fract_z
Ac1 0.000 0.000 0.000
Pm1 0.000 0.000 0.500
Tl1 0.250 0.250 0.250
Cd1 0.250 0.250 0.750

---

(4)
# AcPmTmCd | Alexandria | PBE-GGA | relaxed
# Fermi-level density of states	1.7308	states/eV/atom
# total energy	-55.71	eV for the cell shown
# E_form	0.079	eV/atom
data_AcPmTmCd
_symmetry_space_group_name_H-M 'F -4 3 m'
_symmetry_Int_Tables_number 216
_symmetry_space_group_name_Hall 'F -4 2 3'
_cell_length_a 7.980
_cell_length_b 7.980
_cell_length_c 7.980
_cell_angle_alpha 90.00
_cell_angle_beta 90.00
_cell_angle_gamma 90.00
loop_
_atom_site_label
_atom_site_fract_x
_atom_site_fract_y
_atom_site_fract_z
Ac1 0.000 0.000 0.000
Pm1 0.250 0.250 0.250
Tm1 0.250 0.250 0.750
Cd1 0.000 0.000 0.500

---

(5)
# AcPmYCd | Alexandria | PBE-GGA | relaxed
# Fermi-level density of states	1.4487	states/eV/atom
# total energy	-16.79	eV for the cell shown
# E_form	-0.138	eV/atom
data_AcPmYCd
_symmetry_space_group_name_H-M 'P 4 m m'
_symmetry_Int_Tables_number 99
_symmetry_space_group_name_Hall 'P 4 -2'
_cell_length_a 3.811
_cell_length_b 3.811
_cell_length_c 9.024
_cell_angle_alpha 90.00
_cell_angle_beta 90.00
_cell_angle_gamma 90.00
loop_
_atom_site_label
_atom_site_fract_x
_atom_site_fract_y
_atom_site_fract_z
Ac1 0.000 0.000 0.000
Pm1 0.500 0.500 0.706
Y1 0.500 0.500 0.290
Cd1 0.000 0.000 0.489

---

(6)
# AcPmYCd | Alexandria | PBE-GGA | relaxed
# Fermi-level density of states	1.7035	states/eV/atom
# total energy	-64.10	eV for the cell shown
# E_form	0.053	eV/atom
data_AcPmYCd
_symmetry_space_group_name_H-M 'F -4 3 m'
_symmetry_Int_Tables_number 216
_symmetry_space_group_name_Hall 'F -4 2 3'
_cell_length_a 8.024
_cell_length_b 8.024
_cell_length_c 8.024
_cell_angle_alpha 90.00
_cell_angle_beta 90.00
_cell_angle_gamma 90.00
loop_
_atom_site_label
_atom_site_fract_x
_atom_site_fract_y
_atom_site_fract_z
Ac1 0.000 0.000 0.000
Pm1 0.250 0.250 0.750
Y1 0.250 0.250 0.250
Cd1 0.000 0.000 0.500

---

(7)
# AcPmZnCd | Alexandria | PBE-GGA | relaxed
# Fermi-level density of states	1.2152	states/eV/atom
# total energy	-12.19	eV for the cell shown
# E_form	-0.286	eV/atom
data_AcPmZnCd
_symmetry_space_group_name_H-M 'P 4 m m'
_symmetry_Int_Tables_number 99
_symmetry_space_group_name_Hall 'P 4 -2'
_cell_length_a 3.841
_cell_length_b 3.841
_cell_length_c 7.833
_cell_angle_alpha 90.00
_cell_angle_beta 90.00
_cell_angle_gamma 90.00
loop_
_atom_site_label
_atom_site_fract_x
_atom_site_fract_y
_atom_site_fract_z
Ac1 0.000 0.000 0.000
Pm1 0.000 0.000 0.465
Zn1 0.500 0.500 0.260
Cd1 0.500 0.500 0.709

---

(8)
# AcPmZnCd | Alexandria | PBE-GGA | relaxed
# Fermi-level density of states	1.2277	states/eV/atom
# total energy	-48.15	eV for the cell shown
# E_form	-0.247	eV/atom
data_AcPmZnCd
_symmetry_space_group_name_H-M 'F -4 3 m'
_symmetry_Int_Tables_number 216
_symmetry_space_group_name_Hall 'F -4 2 3'
_cell_length_a 7.763
_cell_length_b 7.763
_cell_length_c 7.763
_cell_angle_alpha 90.00
_cell_angle_beta 90.00
_cell_angle_gamma 90.00
loop_
_atom_site_label
_atom_site_fract_x
_atom_site_fract_y
_atom_site_fract_z
Ac1 0.000 0.000 0.000
Pm1 0.000 0.000 0.500
Zn1 0.250 0.250 0.250
Cd1 0.250 0.250 0.750

---

(9)
# Ac3PrCd | Alexandria | PBE-GGA | relaxed
# Fermi-level density of states	1.2351	states/eV/atom
# total energy	-72.38	eV for the cell shown
# E_form	-0.015	eV/atom
data_Ac3PrCd
_symmetry_space_group_name_H-M 'C 1 2/m 1'
_symmetry_Int_Tables_number 12
_symmetry_space_group_name_Hall '-C 2y'
_cell_length_a 24.312
_cell_length_b 3.899
_cell_length_c 8.682
_cell_angle_alpha 90.00
_cell_angle_beta 104.65
_cell_angle_gamma 90.00
loop_
_atom_site_label
_atom_site_fract_x
_atom_site_fract_y
_atom_site_fract_z
Ac1 0.013 0.000 0.247
Ac2 0.120 0.500 0.032
Ac3 0.175 0.000 0.464
Pr1 0.242 0.500 0.830
Cd1 0.082 0.500 0.607

---

(10)
# AcPr5Cd6 | Alexandria | PBE-GGA | relaxed
# Fermi-level density of states	1.2649	states/eV/atom
# total energy	-74.38	eV for the cell shown
# E_form	-0.308	eV/atom
data_AcPr5Cd6
_symmetry_space_group_name_H-M 'C m m m'
_symmetry_Int_Tables_number 65
_symmetry_space_group_name_Hall '-C 2 2'
_cell_length_a 5.524
_cell_length_b 16.613
_cell_length_c 7.855
_cell_angle_alpha 90.00
_cell_angle_beta 90.00
_cell_angle_gamma 90.00
loop_
_atom_site_label
_atom_site_fract_x
_atom_site_fract_y
_atom_site_fract_z
Ac1 0.000 0.000 0.000
Pr1 0.000 0.000 0.500
Pr2 0.000 0.333 0.000
Pr3 0.000 0.335 0.500
Cd1 0.000 0.171 0.256
Cd2 0.000 0.500 0.259

---

(11)
# AcPr2Cd | Alexandria | PBE-GGA | relaxed
# Fermi-level density of states	1.2941	states/eV/atom
# total energy	-15.19	eV for the cell shown
# E_form	-0.153	eV/atom
data_AcPr2Cd
_symmetry_space_group_name_H-M 'P 4/m m m'
_symmetry_Int_Tables_number 123
_symmetry_space_group_name_Hall '-P 4 2'
_cell_length_a 3.887
_cell_length_b 3.887
_cell_length_c 9.103
_cell_angle_alpha 90.00
_cell_angle_beta 90.00
_cell_angle_gamma 90.00
loop_
_atom_site_label
_atom_site_fract_x
_atom_site_fract_y
_atom_site_fract_z
Ac1 0.000 0.000 0.000
Pr1 0.500 0.500 0.287
Cd1 0.000 0.000 0.500

---

(12)
# AcPr3Cd2 | Alexandria | PBE-GGA | relaxed
# Fermi-level density of states	1.2508	states/eV/atom
# total energy	-21.55	eV for the cell shown
# E_form	-0.212	eV/atom
data_AcPr3Cd2
_symmetry_space_group_name_H-M 'P 4/m m m'
_symmetry_Int_Tables_number 123
_symmetry_space_group_name_Hall '-P 4 2'
_cell_length_a 3.880
_cell_length_b 3.880
_cell_length_c 13.061
_cell_angle_alpha 90.00
_cell_angle_beta 90.00
_cell_angle_gamma 90.00
loop_
_atom_site_label
_atom_site_fract_x
_atom_site_fract_y
_atom_site_fract_z
Ac1 0.000 0.000 0.000
Pr1 0.500 0.500 0.203
Pr2 0.500 0.500 0.500
Cd1 0.000 0.000 0.351

---

(13)
# Ac3Pr2Cd3 | Alexandria | PBE-GGA | relaxed
# Fermi-level density of states	1.1861	states/eV/atom
# total energy	-52.88	eV for the cell shown
# E_form	-0.226	eV/atom
data_Ac3Pr2Cd3
_symmetry_space_group_name_H-M 'I m m m'
_symmetry_Int_Tables_number 71
_symmetry_space_group_name_Hall '-I 2 2'
_cell_length_a 4.011
_cell_length_b 5.811
_cell_length_c 23.684
_cell_angle_alpha 90.00
_cell_angle_beta 90.00
_cell_angle_gamma 90.00
loop_
_atom_site_label
_atom_site_fract_x
_atom_site_fract_y
_atom_site_fract_z
Ac1 0.000 0.000 0.000
Ac2 0.000 0.500 0.123
Pr1 0.000 0.000 0.235
Cd1 0.000 0.000 0.500
Cd2 0.000 0.500 0.377

---

(14)
# AcPr6Cd2 | Alexandria | PBE-GGA | relaxed
# Fermi-level density of states	1.1467	states/eV/atom
# total energy	-71.57	eV for the cell shown
# E_form	-0.130	eV/atom
data_AcPr6Cd2
_symmetry_space_group_name_H-M 'C 1 2/m 1'
_symmetry_Int_Tables_number 12
_symmetry_space_group_name_Hall '-C 2y'
_cell_length_a 13.261
_cell_length_b 3.928
_cell_length_c 12.511
_cell_angle_alpha 90.00
_cell_angle_beta 108.50
_cell_angle_gamma 90.00
loop_
_atom_site_label
_atom_site_fract_x
_atom_site_fract_y
_atom_site_fract_z
Ac1 0.000 0.000 0.000
Pr1 0.018 0.000 0.338
Pr2 0.186 0.500 0.583
Pr3 0.186 0.500 0.874
Cd1 0.154 0.500 0.219

---

(15)
# Ac2PrCd9 | Alexandria | PBE-GGA | relaxed
# Fermi-level density of states	0.6309	states/eV/atom
# total energy	-72.35	eV for the cell shown
# E_form	-0.240	eV/atom
data_Ac2PrCd9
_symmetry_space_group_name_H-M 'R -3 m'
_symmetry_Int_Tables_number 166
_symmetry_space_group_name_Hall '-R 3 2"'
_cell_length_a 6.1523
_cell_length_b 6.1523
_cell_length_c 29.3706
_cell_angle_alpha 90.00
_cell_angle_beta 90.00
_cell_angle_gamma 120.00
loop_
_atom_site_label
_atom_site_fract_x
_atom_site_fract_y
_atom_site_fract_z
Ac1 0.0000 0.0000 0.1405
Pr1 0.0000 0.0000 0.0000
Cd1 0.0000 0.0000 0.3349
Cd2 0.0000 0.0000 0.5000
Cd3 0.0055 0.5028 0.9183

---

(16)
# Ac3Pr4Cd | Alexandria | PBE-GGA | relaxed
# Fermi-level density of states	1.3754	states/eV/atom
# total energy	-32.89	eV for the cell shown
# E_form	-0.067	eV/atom
data_Ac3Pr4Cd
_symmetry_space_group_name_H-M 'P 4/m m m'
_symmetry_Int_Tables_number 123
_symmetry_space_group_name_Hall '-P 4 2'
_cell_length_a 3.874
_cell_length_b 3.874
_cell_length_c 19.896
_cell_angle_alpha 90.00
_cell_angle_beta 90.00
_cell_angle_gamma 90.00
loop_
_atom_site_label
_atom_site_fract_x
_atom_site_fract_y
_atom_site_fract_z
Ac1 0.000 0.000 0.000
Ac2 0.000 0.000 0.269
Pr1 0.500 0.500 0.134
Pr2 0.500 0.500 0.401
Cd1 0.000 0.000 0.500

---

(17)
# AcPr2Cd | Alexandria | PBE-GGA | relaxed
# Fermi-level density of states	1.3092	states/eV/atom
# total energy	-58.18	eV for the cell shown
# E_form	0.009	eV/atom
data_AcPr2Cd
_symmetry_space_group_name_H-M 'F m -3 m'
_symmetry_Int_Tables_number 225
_symmetry_space_group_name_Hall '-F 4 2 3'
_cell_length_a 8.154
_cell_length_b 8.154
_cell_length_c 8.154
_cell_angle_alpha 90.00
_cell_angle_beta 90.00
_cell_angle_gamma 90.00
loop_
_atom_site_label
_atom_site_fract_x
_atom_site_fract_y
_atom_site_fract_z
Ac1 0.000 0.000 0.000
Pr1 0.250 0.250 0.250
Cd1 0.000 0.000 0.500

---

(18)
# Ac3PrCd3 | Alexandria | PBE-GGA | relaxed
# Fermi-level density of states	1.3370	states/eV/atom
# total energy	-83.98	eV for the cell shown
# E_form	-0.163	eV/atom
data_Ac3PrCd3
_symmetry_space_group_name_H-M 'C m m m'
_symmetry_Int_Tables_number 65
_symmetry_space_group_name_Hall '-C 2 2'
_cell_length_a 11.064
_cell_length_b 11.486
_cell_length_c 7.922
_cell_angle_alpha 90.00
_cell_angle_beta 90.00
_cell_angle_gamma 90.00
loop_
_atom_site_label
_atom_site_fract_x
_atom_site_fract_y
_atom_site_fract_z
Ac1 0.000 0.248 0.000
Ac2 0.225 0.000 0.500
Ac3 0.249 0.000 0.000
Pr1 0.000 0.264 0.500
Cd1 0.000 0.500 0.263
Cd2 0.250 0.250 0.261

---

(19)
# Ac2Pr3Cd4 | Alexandria | PBE-GGA | relaxed
# Fermi-level density of states	1.2061	states/eV/atom
# total energy	-111.05	eV for the cell shown
# E_form	-0.172	eV/atom
data_Ac2Pr3Cd4
_symmetry_space_group_name_H-M 'C m c e'
_symmetry_Int_Tables_number 64
_symmetry_space_group_name_Hall '-C 2ac 2'
_cell_length_a 7.118
_cell_length_b 19.217
_cell_length_c 8.728
_cell_angle_alpha 90.00
_cell_angle_beta 90.00
_cell_angle_gamma 90.00
loop_
_atom_site_label
_atom_site_fract_x
_atom_site_fract_y
_atom_site_fract_z
Ac1 0.000 0.095 0.094
Pr1 0.000 0.000 0.500
Pr2 0.250 0.245 0.750
Cd1 0.000 0.164 0.490
Cd2 0.250 0.074 0.750

---

(20)
# Ac5PrCd6 | Alexandria | PBE-GGA | relaxed
# Fermi-level density of states	1.2769	states/eV/atom
# total energy	-68.65	eV for the cell shown
# E_form	-0.293	eV/atom
data_Ac5PrCd6
_symmetry_space_group_name_H-M 'C m m m'
_symmetry_Int_Tables_number 65
_symmetry_space_group_name_Hall '-C 2 2'
_cell_length_a 5.714
_cell_length_b 17.175
_cell_length_c 8.092
_cell_angle_alpha 90.00
_cell_angle_beta 90.00
_cell_angle_gamma 90.00
loop_
_atom_site_label
_atom_site_fract_x
_atom_site_fract_y
_atom_site_fract_z
Ac1 0.000 0.000 0.000
Ac2 0.000 0.332 0.000
Ac3 0.000 0.333 0.500
Pr1 0.000 0.000 0.500
Cd1 0.000 0.162 0.255
Cd2 0.000 0.500 0.260